Entry 1:
Computed, not measured: a geometry-optimized KTaCd structure at the PBE-GGA level of DFT. Values from VASP.

Summary:
Its magnetization is 0.00 μB per formula unit. The calculation puts the theoretical density at 6.10 Mg/m³. The value obtained for the formation energy is 0.737 eV per atom. As for the offset from the most stable computed form: 415.0 meV/atom.

```
&SYSTEM
  ibrav = 0, nat = 6, ntyp = 3
/
ATOMIC_SPECIES
K 39.10 K.upf
Cd 112.41 Cd.upf
Ta 180.95 Ta.upf
CELL_PARAMETERS angstrom
7.1456 0.6091 0.3897
1.1630 4.9645 -0.1161
-1.9848 -1.8542 5.1606
ATOMIC_POSITIONS crystal
K 0.4522 0.6812 0.7778
K 0.5478 0.3188 0.2222
Cd 0.9007 0.7781 0.4766
Cd 0.0993 0.2219 0.5234
Ta 0.9952 0.2428 0.9815
Ta 0.0048 0.7572 0.0185
```

---

Entry 2:
Computed, not measured: a geometry-optimized KTaCdTc2 structure at the PBE-GGA level of DFT. Values from VASP.

Summary:
Its magnetization is 0.00 μB per formula unit. The calculation puts the theoretical density at 9.05 Mg/m³. The value obtained for the formation energy is 2.844 eV per atom.

```
&SYSTEM
  ibrav = 0, nat = 5, ntyp = 4
/
ATOMIC_SPECIES
K 39.10 K.upf
Cd 112.41 Cd.upf
Tc 98.00 Tc.upf
Ta 180.95 Ta.upf
CELL_PARAMETERS angstrom
-3.4035 -2.6358 1.4903
2.4752 -1.0344 3.8234
-1.8276 3.5759 2.1506
ATOMIC_POSITIONS crystal
K 0.0000 0.0000 0.0000
Cd 0.5000 0.5000 0.5000
Tc 0.0000 0.0000 0.5000
Tc 0.5000 0.0000 0.0000
Ta 0.0000 0.5000 0.0000
```

---

Entry 3:
Computed, not measured: a geometry-optimized KTbCd structure at the PBE-GGA level of DFT. Values from VASP.

Summary:
Its magnetization is 0.00 μB per formula unit. The calculation puts the theoretical density at 4.82 Mg/m³. The value obtained for the formation energy is 0.174 eV per atom.

```
&SYSTEM
  ibrav = 0, nat = 6, ntyp = 3
/
ATOMIC_SPECIES
Cd 112.41 Cd.upf
Tb 158.93 Tb.upf
K 39.10 K.upf
CELL_PARAMETERS angstrom
3.6862 0.0000 0.0000
-1.8431 3.2142 0.0000
0.0000 0.0000 18.0375
ATOMIC_POSITIONS crystal
Cd 0.6136 0.2272 0.0000
Cd 0.2749 0.5497 0.5000
Tb 0.6065 0.2130 0.3657
Tb 0.6065 0.2130 0.6343
K 0.2826 0.5652 0.8345
K 0.2826 0.5652 0.1655
```

---

Entry 4:
Computed, not measured: a geometry-optimized KTbCd17 structure at the PBE-GGA level of DFT. Values from VASP.

Summary:
Its magnetization is 0.00 μB per formula unit. The calculation puts the theoretical density at 7.70 Mg/m³. The value obtained for the formation energy is -0.081 eV per atom.

```
&SYSTEM
  ibrav = 0, nat = 19, ntyp = 3
/
ATOMIC_SPECIES
K 39.10 K.upf
Tb 158.93 Tb.upf
Cd 112.41 Cd.upf
CELL_PARAMETERS angstrom
-6.8920 3.4094 -1.0172
-4.4519 -5.9873 2.1193
-1.2029 2.1431 7.3565
ATOMIC_POSITIONS crystal
K 0.6629 0.6629 0.6629
Tb 0.3286 0.3286 0.3286
Cd 0.2964 0.0022 0.6997
Cd 0.6997 0.2964 0.0022
Cd 0.0022 0.6997 0.2964
Cd 0.2964 0.6997 0.0022
Cd 0.0022 0.2964 0.6997
Cd 0.6997 0.0022 0.2964
Cd 0.3480 0.8735 0.3480
Cd 0.3480 0.3480 0.8735
Cd 0.8735 0.3480 0.3480
Cd 0.6234 0.1959 0.6234
Cd 0.6234 0.6234 0.1959
Cd 0.1959 0.6234 0.6234
Cd 0.9825 0.5190 0.9825
Cd 0.9825 0.9825 0.5190
Cd 0.5190 0.9825 0.9825
Cd 0.9087 0.9087 0.9087
Cd 0.1068 0.1068 0.1068
```

---

Entry 5:
Computed, not measured: a geometry-optimized KTbCd4 structure at the PBE-GGA level of DFT. Values from VASP.

Summary:
Its magnetization is 0.00 μB per formula unit. The calculation puts the theoretical density at 6.76 Mg/m³. The value obtained for the formation energy is -0.062 eV per atom.

```
&SYSTEM
  ibrav = 0, nat = 6, ntyp = 3
/
ATOMIC_SPECIES
K 39.10 K.upf
Tb 158.93 Tb.upf
Cd 112.41 Cd.upf
CELL_PARAMETERS angstrom
-4.1085 -2.5443 -3.6927
1.5947 -1.6842 -5.6222
0.4155 -5.9032 -1.4033
ATOMIC_POSITIONS crystal
K 0.2500 0.2500 0.2500
Tb 0.0000 0.0000 0.0000
Cd 0.6255 0.6255 0.1236
Cd 0.6255 0.1236 0.6255
Cd 0.6255 0.6255 0.6255
Cd 0.1236 0.6255 0.6255
```

---

Entry 6:
Computed, not measured: a geometry-optimized KTbCd2 structure at the PBE-GGA level of DFT. Values from VASP.

Summary:
Its magnetization is 0.00 μB per formula unit. The calculation puts the theoretical density at 5.59 Mg/m³. The value obtained for the formation energy is -0.111 eV per atom. As for the offset from the most stable computed form: 0.0 meV/atom.

```
&SYSTEM
  ibrav = 0, nat = 4, ntyp = 3
/
ATOMIC_SPECIES
K 39.10 K.upf
Tb 158.93 Tb.upf
Cd 112.41 Cd.upf
CELL_PARAMETERS angstrom
3.8330 0.0000 0.0000
0.0000 3.8330 0.0000
0.0000 0.0000 8.5494
ATOMIC_POSITIONS crystal
K 0.5000 0.5000 0.5000
Tb 0.5000 0.5000 0.0000
Cd 0.0000 0.0000 0.7974
Cd 0.0000 0.0000 0.2026
```

---

Entry 7:
Computed, not measured: a geometry-optimized K2TbCd2Te4 structure at the PBE-GGA level of DFT. Values from VASP.

Summary:
Its magnetization is 0.00 μB per formula unit. The calculation puts the theoretical density at 5.14 Mg/m³. The formation energy from raw total energies is -83.6 kJ/mol of atoms.

```
&SYSTEM
  ibrav = 0, nat = 9, ntyp = 4
/
ATOMIC_SPECIES
K 39.10 K.upf
Tb 158.93 Tb.upf
Cd 112.41 Cd.upf
Te 127.60 Te.upf
CELL_PARAMETERS angstrom
4.4674 0.0000 0.0000
0.0000 8.8264 -0.0655
-2.2337 -3.5436 7.9897
ATOMIC_POSITIONS crystal
K 0.1260 0.5692 0.2521
K 0.8740 0.4308 0.7479
Tb 0.0000 0.0000 0.0000
Cd 0.6896 0.0114 0.3792
Cd 0.3104 0.9886 0.6208
Te 0.1922 0.2297 0.3843
Te 0.8078 0.7703 0.6157
Te 0.5191 0.7667 0.0382
Te 0.4809 0.2333 0.9618
```

---

Entry 8:
Computed, not measured: a geometry-optimized KCdTc structure at the PBE-GGA level of DFT. Values from VASP.

Summary:
Its magnetization is 0.00 μB per formula unit. The calculation puts the theoretical density at 6.44 Mg/m³. The value obtained for the formation energy is 0.866 eV per atom. As for the offset from the most stable computed form: 31.9 meV/atom.

```
&SYSTEM
  ibrav = 0, nat = 3, ntyp = 3
/
ATOMIC_SPECIES
Cd 112.41 Cd.upf
K 39.10 K.upf
Tc 98.00 Tc.upf
CELL_PARAMETERS angstrom
-4.6405 -1.7492 7.1661
-2.5090 -3.6089 7.3591
0.6145 2.2073 1.6701
ATOMIC_POSITIONS crystal
Cd 0.0173 0.0173 0.9827
K 0.3257 0.3257 0.6743
Tc 0.6570 0.6570 0.3430
```